Entry 1:
This record from the Alexandria database describes a relaxed Sr2ZnAg crystal. The functional is PBE.

Values from the calculation:
energy: -2.133 eV per atom
Fermi-level density of states: 0.614 states/eV per atom
mass density: 4.5 g cm⁻³

abc: 6.391 4.722 9.056
angles: 90.00 110.46 90.00
Positions (direct):
Sr: 0.212 0.250 0.429
Sr: 0.287 0.750 0.071
Sr: 0.713 0.250 0.929
Sr: 0.788 0.750 0.571
Zn: 0.346 0.750 0.718
Zn: 0.654 0.250 0.282
Ag: 0.157 0.250 0.782
Ag: 0.843 0.750 0.218

***

Entry 2:
This record from the Alexandria database describes a relaxed Sr5Zn4Ag crystal. The functional is PBE.

Values from the calculation:
energy: -1.835 eV per atom
Fermi-level density of states: 0.553 states/eV per atom
mass density: 4.5 g cm⁻³

abc: 3.884 3.884 19.846
angles: 90.00 90.00 90.00
Positions (direct):
Sr: 0.000 0.000 0.000
Sr: 0.000 0.000 0.199
Sr: 0.000 0.000 0.399
Sr: 0.000 0.000 0.601
Sr: 0.000 0.000 0.801
Zn: 0.500 0.500 0.100
Zn: 0.500 0.500 0.299
Zn: 0.500 0.500 0.701
Zn: 0.500 0.500 0.900
Ag: 0.500 0.500 0.500

***

Entry 3:
This record from the Alexandria database describes a relaxed Sr2Zn2Ag3 crystal. The functional is PBE.

Values from the calculation:
energy: -2.296 eV per atom
Fermi-level density of states: 0.552 states/eV per atom
mass density: 6.2 g cm⁻³

abc: 6.014 6.014 7.691
angles: 113.27 113.27 42.16
Positions (direct):
Sr: 0.134 0.134 0.261
Sr: 0.866 0.866 0.739
Zn: 0.142 0.142 0.708
Zn: 0.858 0.858 0.292
Ag: 0.359 0.359 0.071
Ag: 0.500 0.500 0.500
Ag: 0.641 0.641 0.929

***

Entry 4:
This record from the Alexandria database describes a relaxed Sr2Zn5Ag3 crystal. The functional is PBE.

Values from the calculation:
energy: -2.039 eV per atom
Fermi-level density of states: 0.503 states/eV per atom
mass density: 6.2 g cm⁻³
energy above the lowest structure with this stoichiometry: 0.000 eV/atom

abc: 9.013 9.013 6.261
angles: 110.05 110.05 93.02
Positions (direct):
Sr: 0.104 0.360 0.232
Sr: 0.360 0.104 0.732
Sr: 0.640 0.896 0.268
Sr: 0.896 0.640 0.768
Zn: 0.000 0.000 0.250
Zn: 0.000 0.000 0.750
Zn: 0.234 0.468 0.851
Zn: 0.282 0.718 0.750
Zn: 0.283 0.717 0.250
Zn: 0.468 0.234 0.351
Zn: 0.532 0.766 0.649
Zn: 0.717 0.283 0.750
Zn: 0.718 0.282 0.250
Zn: 0.766 0.532 0.149
Ag: 0.033 0.753 0.393
Ag: 0.247 0.967 0.107
Ag: 0.500 0.500 0.250
Ag: 0.500 0.500 0.750
Ag: 0.753 0.033 0.893
Ag: 0.967 0.247 0.607

***

Entry 5:
This record from the Alexandria database describes a relaxed Sr2ZnAg crystal. The functional is PBE.

Values from the calculation:
energy: -1.858 eV per atom
Fermi-level density of states: 0.885 states/eV per atom
mass density: 5.4 g cm⁻³

abc: 5.344 5.344 5.344
angles: 60.00 60.00 60.00
Positions (direct):
Sr: 0.000 0.000 0.000
Sr: 0.250 0.250 0.250
Zn: 0.750 0.750 0.750
Ag: 0.500 0.500 0.500

***

Entry 6:
This record from the Alexandria database describes a relaxed SrZnAg2 crystal. The functional is PBE.

Values from the calculation:
energy: -2.363 eV per atom
Fermi-level density of states: 0.467 states/eV per atom
mass density: 6.2 g cm⁻³

abc: 4.643 4.643 5.961
angles: 113.05 113.05 60.29
Positions (direct):
Sr: 0.000 0.000 0.000
Zn: 0.201 0.201 0.608
Ag: 0.520 0.520 0.561
Ag: 0.797 0.797 0.391

***

Entry 7:
This record from the Alexandria database describes a relaxed SrZn2Ag3 crystal. The functional is PBE.

Values from the calculation:
energy: -2.335 eV per atom
Fermi-level density of states: 0.345 states/eV per atom
mass density: 6.9 g cm⁻³

abc: 6.998 6.998 5.400
angles: 90.00 90.00 80.22
Positions (direct):
Sr: 0.183 0.817 0.750
Sr: 0.817 0.183 0.250
Zn: 0.280 0.280 0.000
Zn: 0.280 0.280 0.500
Zn: 0.720 0.720 0.000
Zn: 0.720 0.720 0.500
Ag: 0.039 0.580 0.250
Ag: 0.420 0.961 0.250
Ag: 0.443 0.557 0.250
Ag: 0.557 0.443 0.750
Ag: 0.580 0.039 0.750
Ag: 0.961 0.420 0.750

***

Entry 8:
This record from the Alexandria database describes a relaxed SrZnAg2 crystal. The functional is PBE.

Values from the calculation:
energy: -2.401 eV per atom
Fermi-level density of states: 0.355 states/eV per atom
mass density: 6.3 g cm⁻³

abc: 10.145 10.145 4.613
angles: 90.00 90.00 155.96
Positions (direct):
Sr: 0.104 0.896 0.750
Sr: 0.896 0.104 0.250
Zn: 0.327 0.673 0.750
Zn: 0.673 0.327 0.250
Ag: 0.254 0.746 0.250
Ag: 0.460 0.540 0.750
Ag: 0.540 0.460 0.250
Ag: 0.746 0.254 0.750